Entry 1:
## BaLiInBi2 (PBE)

Data for BaLiInBi2 after structural relaxation.

Values from the calculation:
Raw total energy: -34.262 eV per cell
Energy relative to the elements: -2.8 eV per formula unit
Size of the total moment: 0.0 Bohr magnetons per cell

abc: 4.755 4.755 14.579
angles: 90.00 90.00 90.00
Space group I-4m2 (No. 119)
One atom of each set of equivalent atoms:
Ba  0.000  0.000  0.000 (multiplicity 2)
Li  0.000  0.500  0.750 (multiplicity 2)
In  0.000  0.500  0.250 (multiplicity 2)
Bi  0.000  0.000  0.380 (multiplicity 4)

Entry 2:
## TiAgPO5 (PBE)

Data for TiAgPO5 after structural relaxation.

Values from the calculation:
Raw total energy: -464.978 eV per cell
Size of the total moment: 0.0 Bohr magnetons per cell
Uncorrected formation energy: -2.1469 eV/atom

abc: 12.667 6.362 10.741
angles: 90.00 90.00 90.00
Space group Pna2_1 (No. 33)
One atom of each set of equivalent atoms:
Ti  0.130  0.040  0.000 (multiplicity 4)
Ti  0.222  0.299  0.733 (multiplicity 4)
Ag  0.116  0.752  0.624 (multiplicity 4)
Ag  0.155  0.321  0.288 (multiplicity 4)
P  0.022  0.851  0.272 (multiplicity 4)
P  0.184  0.545  0.001 (multiplicity 4)
O  0.006  0.922  0.409 (multiplicity 4)
O  0.030  0.045  0.184 (multiplicity 4)
O  0.070  0.297  0.731 (multiplicity 4)
O  0.110  0.736  0.996 (multiplicity 4)
O  0.122  0.348  0.041 (multiplicity 4)
O  0.125  0.721  0.264 (multiplicity 4)
O  0.207  0.065  0.865 (multiplicity 4)
O  0.225  0.082  0.596 (multiplicity 4)
O  0.234  0.513  0.870 (multiplicity 4)
O  0.250  0.008  0.120 (multiplicity 4)

Entry 3:
## KFe5 (PBE)

Data for KFe5 after structural relaxation.

Values from the calculation:
Raw total energy: -39.364 eV per cell
Energy relative to the elements: 4.0 eV per formula unit
Size of the total moment: 13.3 Bohr magnetons per cell

abc: 5.4173 5.4173 3.8462
angles: 90.00 90.00 120.00
Space group P6/mmm (No. 191)
One atom of each set of equivalent atoms:
K  0.0000  0.0000  0.0000 (multiplicity 1)
Fe  0.0000  0.5000  0.5000 (multiplicity 3)
Fe  0.3333  0.6667  0.0000 (multiplicity 2)

Entry 4:
## Sr3Sn2HgAu6 (PBE)

Data for Sr3Sn2HgAu6 after structural relaxation.

Values from the calculation:
Raw total energy: -38.600 eV per cell
Energy relative to the elements: -5.6 eV per formula unit
Size of the total moment: 0.0 Bohr magnetons per cell

abc: 6.3802 6.3802 9.0360
angles: 90.00 90.00 120.00
Space group P-3m1 (No. 164)
One atom of each set of equivalent atoms:
Sr  0.0000  0.0000  0.0000 (multiplicity 1)
Sr  0.3333  0.6667  0.6261 (multiplicity 2)
Sn  0.3333  0.6667  0.0328 (multiplicity 2)
Hg  0.0000  0.0000  0.5000 (multiplicity 1)
Au  0.1778  0.3556  0.2807 (multiplicity 6)

Entry 5:
## NdCoS (PBE)

Data for NdCoS after structural relaxation.

Values from the calculation:
Raw total energy: -68.544 eV per cell
Size of the total moment: 5.0 Bohr magnetons per cell
Uncorrected formation energy: -0.3783 eV/atom

abc: 10.639 3.663 6.336
angles: 90.00 90.00 90.00
Space group Amm2 (No. 38)
One atom of each set of equivalent atoms:
Nd  0.186  0.000  0.000 (multiplicity 4)
Co  0.000  0.000  0.667 (multiplicity 2)
Co  0.500  0.000  0.999 (multiplicity 2)
S  0.366  0.000  0.666 (multiplicity 4)

Entry 6:
## Pr2CdPd5 (PBE)

Data for Pr2CdPd5 after structural relaxation.

Values from the calculation:
Raw total energy: -83.025 eV per cell
Energy relative to the elements: -5.1 eV per formula unit
Size of the total moment: 0.0 Bohr magnetons per cell

abc: 6.464 6.464 7.670
angles: 90.00 90.00 90.00
Space group I4mm (No. 107)
One atom of each set of equivalent atoms:
Pr  0.000  0.500  0.000 (multiplicity 4)
Cd  0.000  0.000  0.398 (multiplicity 2)
Pd  0.000  0.000  0.019 (multiplicity 2)
Pd  0.218  0.218  0.742 (multiplicity 8)

Entry 7:
## Cs3LiU2Te6 (PBE)

Data for Cs3LiU2Te6 after structural relaxation.

Values from the calculation:
Raw total energy: -113.421 eV per cell
Size of the total moment: 8.0 Bohr magnetons per cell
Uncorrected formation energy: -0.9008 eV/atom

abc: 7.950 13.778 9.223
angles: 90.00 106.58 90.00
Space group C2/m (No. 12)
One atom of each set of equivalent atoms:
Cs  0.000  0.000  0.000 (multiplicity 2)
Cs  0.000  0.339  0.000 (multiplicity 4)
Li  0.000  0.500  0.500 (multiplicity 2)
U  0.000  0.167  0.500 (multiplicity 4)
Te  0.218  0.000  0.684 (multiplicity 4)
Te  0.235  0.327  0.688 (multiplicity 8)

Entry 8:
## Li2YSc2Sn2 (PBE)

Data for Li2YSc2Sn2 after structural relaxation.

Values from the calculation:
Raw total energy: -102.581 eV per cell
Energy relative to the elements: -3.2 eV per formula unit
Size of the total moment: 2.5 Bohr magnetons per cell

abc: 4.6861 4.6861 25.0857
angles: 90.00 90.00 120.00
Space group R-3m (No. 166, hexagonal axes)
One atom of each set of equivalent atoms:
Li  0.0000  0.0000  0.0792 (multiplicity 6)
Y  0.0000  0.0000  0.5000 (multiplicity 3)
Sc  0.0000  0.0000  0.3668 (multiplicity 6)
Sn  0.0000  0.0000  0.2415 (multiplicity 6)

Entry 9:
## NaF (PBE)

Data for NaF after structural relaxation.

Values from the calculation:
Raw total energy: -8.332 eV per cell
Size of the total moment: 0.0 Bohr magnetons per cell
Uncorrected formation energy: -2.5709 eV/atom

abc: 2.857 2.857 2.857
angles: 90.00 90.00 90.00
Space group Pm-3m (No. 221)
One atom of each set of equivalent atoms:
Na  0.000  0.000  0.000 (multiplicity 1)
F  0.500  0.500  0.500 (multiplicity 1)

Entry 10:
## Mo2RhAu (PBE)

Data for Mo2RhAu after structural relaxation.

Values from the calculation:
Raw total energy: -31.935 eV per cell
Energy relative to the elements: 0.4 eV per formula unit
Size of the total moment: 0.0 Bohr magnetons per cell

abc: 3.883 3.883 4.153
angles: 90.00 90.00 90.00
Space group P4/mmm (No. 123)
One atom of each set of equivalent atoms:
Mo  0.000  0.500  0.000 (multiplicity 2)
Rh  0.000  0.000  0.500 (multiplicity 1)
Au  0.500  0.500  0.500 (multiplicity 1)

Entry 11:
## SmTl2Ga (PBE)

Data for SmTl2Ga after structural relaxation.

Values from the calculation:
Raw total energy: -13.779 eV per cell
Energy relative to the elements: -1.3 eV per formula unit
Size of the total moment: 0.0 Bohr magnetons per cell

abc: 4.625 4.625 4.753
angles: 90.00 90.00 90.00
Space group P4/mmm (No. 123)
One atom of each set of equivalent atoms:
Sm  0.000  0.000  0.000 (multiplicity 1)
Tl  0.000  0.500  0.500 (multiplicity 2)
Ga  0.500  0.500  0.000 (multiplicity 1)

Entry 12:
## TbGe4Pt12 (PBE)

Data for TbGe4Pt12 after structural relaxation.

Values from the calculation:
Raw total energy: -198.617 eV per cell
Energy relative to the elements: -3.7 eV per formula unit
Size of the total moment: 0.0 Bohr magnetons per cell

abc: 8.570 8.570 8.570
angles: 90.00 90.00 90.00
Space group Im-3 (No. 204)
One atom of each set of equivalent atoms:
Tb  0.000  0.000  0.000 (multiplicity 2)
Ge  0.250  0.250  0.250 (multiplicity 8)
Pt  0.000  0.156  0.344 (multiplicity 24)

Entry 13:
## K2LaTl (PBE)

Data for K2LaTl after structural relaxation.

Values from the calculation:
Raw total energy: -18.727 eV per cell
Energy relative to the elements: 0.1 eV per formula unit
Size of the total moment: 0.0 Bohr magnetons per cell

abc: 3.870 5.370 19.429
angles: 90.00 90.00 90.00
Space group Immm (No. 71)
One atom of each set of equivalent atoms:
K  0.000  0.000  0.166 (multiplicity 4)
La  0.000  0.500  0.000 (multiplicity 2)
Tl  0.000  0.500  0.500 (multiplicity 2)

Entry 14:
## DyHfTlZn (PBE)

Data for DyHfTlZn after structural relaxation.

Values from the calculation:
Raw total energy: -74.038 eV per cell
Energy relative to the elements: -0.3 eV per formula unit
Size of the total moment: 0.0 Bohr magnetons per cell

abc: 7.115 7.115 7.115
angles: 90.00 90.00 90.00
Space group F-43m (No. 216)
One atom of each set of equivalent atoms:
Dy  0.000  0.000  0.000 (multiplicity 4)
Hf  0.000  0.000  0.500 (multiplicity 4)
Tl  0.250  0.250  0.750 (multiplicity 4)
Zn  0.250  0.250  0.250 (multiplicity 4)

Entry 15:
## BaSr3Mn (PBE)

Data for BaSr3Mn after structural relaxation.

Values from the calculation:
Raw total energy: -9.912 eV per cell
Energy relative to the elements: 6.2 eV per formula unit
Size of the total moment: 2.8 Bohr magnetons per cell

abc: 6.451 6.451 6.451
angles: 90.00 90.00 90.00
Space group Pm-3m (No. 221)
One atom of each set of equivalent atoms:
Ba  0.000  0.000  0.000 (multiplicity 1)
Sr  0.000  0.000  0.500 (multiplicity 3)
Mn  0.500  0.500  0.500 (multiplicity 1)

Entry 16:
## KBaSn2 (PBE)

Data for KBaSn2 after structural relaxation.

Values from the calculation:
Raw total energy: -48.055 eV per cell
Energy relative to the elements: -1.0 eV per formula unit
Size of the total moment: 0.0 Bohr magnetons per cell

abc: 8.386 8.386 8.386
angles: 90.00 90.00 90.00
Space group Fm-3m (No. 225)
One atom of each set of equivalent atoms:
K  0.000  0.000  0.000 (multiplicity 4)
Ba  0.000  0.000  0.500 (multiplicity 4)
Sn  0.250  0.250  0.250 (multiplicity 8)

Entry 17:
## Mn2Ni2W (PBE)

Data for Mn2Ni2W after structural relaxation.

Values from the calculation:
Raw total energy: -83.482 eV per cell
Energy relative to the elements: 1.1 eV per formula unit
Size of the total moment: 6.2 Bohr magnetons per cell

abc: 6.835 6.835 2.603
angles: 90.00 90.00 90.00
Space group P4/mbm (No. 127)
One atom of each set of equivalent atoms:
Mn  0.118  0.382  0.000 (multiplicity 4)
Ni  0.178  0.678  0.500 (multiplicity 4)
W  0.000  0.000  0.000 (multiplicity 2)

Entry 18:
## TbDyMg17 (PBE)

Data for TbDyMg17 after structural relaxation.

Values from the calculation:
Raw total energy: -109.938 eV per cell
Energy relative to the elements: -0.3 eV per formula unit
Size of the total moment: 0.0 Bohr magnetons per cell

abc: 10.2109 10.2109 15.2182
angles: 90.00 90.00 120.00
Space group R3m (No. 160, hexagonal axes)
One atom of each set of equivalent atoms:
Tb  0.0000  0.0000  0.0000 (multiplicity 3)
Dy  0.0000  0.0000  0.3431 (multiplicity 3)
Mg  0.0000  0.0000  0.5720 (multiplicity 3)
Mg  0.0000  0.0000  0.7709 (multiplicity 3)
Mg  0.9998  0.3034  0.6714 (multiplicity 18)
Mg  0.0001  0.5000  0.1714 (multiplicity 9)
Mg  0.0090  0.5045  0.8222 (multiplicity 9)
Mg  0.1712  0.3424  0.8538 (multiplicity 9)

Entry 19:
## TbNdSmY2 (PBE)

Data for TbNdSmY2 after structural relaxation.

Values from the calculation:
Raw total energy: -100.536 eV per cell
Energy relative to the elements: 1.9 eV per formula unit
Size of the total moment: 0.0 Bohr magnetons per cell

abc: 8.491 11.576 7.212
angles: 90.00 90.00 90.00
Space group Cmcm (No. 63)
One atom of each set of equivalent atoms:
Tb  0.000  0.226  0.250 (multiplicity 4)
Nd  0.000  0.229  0.750 (multiplicity 4)
Sm  0.000  0.497  0.750 (multiplicity 4)
Y  0.188  0.000  0.000 (multiplicity 8)

Entry 20:
## CdGe2F6 (PBE)

Data for CdGe2F6 after structural relaxation.

Values from the calculation:
Raw total energy: -161.263 eV per cell
Size of the total moment: 0.0 Bohr magnetons per cell
Uncorrected formation energy: -2.1042 eV/atom

abc: 9.464 11.431 6.001
angles: 90.00 107.99 90.00
Space group C2/c (No. 15)
One atom of each set of equivalent atoms:
Cd  0.000  0.085  0.250 (multiplicity 4)
Ge  0.155  0.379  0.149 (multiplicity 8)
F  0.114  0.373  0.438 (multiplicity 8)
F  0.127  0.069  0.638 (multiplicity 8)
F  0.155  0.210  0.148 (multiplicity 8)